{
  "formula": "Tl2Sb3S6",
  "functional": "PBE",
  "state": "relaxed",
  "cell": [[3.395, -5.901, 0.000], [3.395, 5.901, 0.000], [-2.264, 0.000, 7.584]],
  "species": ["Tl", "Tl", "Sb", "Sb", "Sb", "S", "S", "S", "S", "S", "S"],
  "frac_coords": [[0.164, 0.836, 0.000], [0.836, 0.164, 0.000], [0.000, 0.000, 0.500], [0.334, 0.666, 0.500], [0.666, 0.334, 0.500], [0.064, 0.402, 0.702], [0.261, 0.261, 0.291], [0.402, 0.064, 0.702], [0.598, 0.936, 0.298], [0.739, 0.739, 0.709], [0.936, 0.598, 0.298]],
  "total_magnetization_mub_per_cell": 0.0,
  "dos_ef_per_ev_cell": 7.95
}

***

{
  "formula": "TlSb2S4",
  "functional": "PBE",
  "state": "relaxed",
  "cell": [[5.928, -5.449, 0.000], [5.928, 5.449, 0.000], [-4.630, 0.000, 6.384]],
  "species": ["Tl", "Tl", "Sb", "Sb", "Sb", "Sb", "S", "S", "S", "S", "S", "S", "S", "S"],
  "frac_coords": [[0.000, 0.000, 0.000], [0.861, 0.139, 0.500], [0.329, 0.635, 0.218], [0.365, 0.671, 0.782], [0.459, 0.167, 0.793], [0.833, 0.541, 0.207], [0.084, 0.853, 0.253], [0.101, 0.356, 0.255], [0.147, 0.916, 0.747], [0.170, 0.474, 0.827], [0.526, 0.830, 0.173], [0.598, 0.321, 0.184], [0.644, 0.899, 0.745], [0.679, 0.402, 0.816]],
  "total_magnetization_mub_per_cell": 0.0,
  "polymorph_energy_ev_per_atom": 0.000
}

***

{
  "formula": "TlSbS4",
  "functional": "PBE",
  "state": "relaxed",
  "cell": [[3.653, -8.384, 0.000], [3.653, 8.384, 0.000], [-0.425, 0.000, 6.700]],
  "species": ["Tl", "Tl", "Sb", "Sb", "S", "S", "S", "S", "S", "S", "S", "S"],
  "frac_coords": [[0.082, 0.918, 0.750], [0.918, 0.082, 0.250], [0.451, 0.549, 0.250], [0.549, 0.451, 0.750], [0.104, 0.668, 0.313], [0.240, 0.325, 0.899], [0.325, 0.240, 0.399], [0.332, 0.896, 0.187], [0.668, 0.104, 0.813], [0.675, 0.760, 0.601], [0.760, 0.675, 0.101], [0.896, 0.332, 0.687]],
  "total_magnetization_mub_per_cell": 4.0,
  "polymorph_energy_ev_per_atom": 0.061,
  "dos_ef_per_ev_cell": 0.50
}

***

{
  "formula": "Tl3Sb5S12",
  "functional": "PBE",
  "state": "relaxed",
  "cell": [[-8.299, 8.299, 8.299], [8.299, -8.299, 8.299], [8.299, 8.299, -8.299]],
  "species": ["Tl", "Tl", "Tl", "Tl", "Tl", "Tl", "Tl", "Tl", "Tl", "Tl", "Tl", "Tl", "Sb", "Sb", "Sb", "Sb", "Sb", "Sb", "Sb", "Sb", "Sb", "Sb", "Sb", "Sb", "Sb", "Sb", "Sb", "Sb", "Sb", "Sb", "Sb", "Sb", "S", "S", "S", "S", "S", "S", "S", "S", "S", "S", "S", "S", "S", "S", "S", "S", "S", "S", "S", "S", "S", "S", "S", "S", "S", "S", "S", "S", "S", "S", "S", "S", "S", "S", "S", "S", "S", "S", "S", "S", "S", "S", "S", "S", "S", "S", "S", "S"],
  "frac_coords": [[0.125, 0.250, 0.375], [0.125, 0.375, 0.750], [0.250, 0.375, 0.125], [0.250, 0.875, 0.625], [0.375, 0.125, 0.250], [0.375, 0.750, 0.125], [0.625, 0.250, 0.875], [0.625, 0.875, 0.750], [0.750, 0.125, 0.375], [0.750, 0.625, 0.875], [0.875, 0.625, 0.250], [0.875, 0.750, 0.625], [0.000, 0.000, 0.000], [0.000, 0.000, 0.500], [0.000, 0.500, 0.000], [0.000, 0.500, 0.500], [0.125, 0.750, 0.875], [0.125, 0.875, 0.250], [0.250, 0.125, 0.875], [0.250, 0.625, 0.375], [0.375, 0.250, 0.625], [0.375, 0.625, 0.750], [0.500, 0.000, 0.000], [0.500, 0.000, 0.500], [0.500, 0.500, 0.000], [0.500, 0.500, 0.500], [0.625, 0.375, 0.250], [0.625, 0.750, 0.375], [0.750, 0.375, 0.625], [0.750, 0.875, 0.125], [0.875, 0.125, 0.750], [0.875, 0.250, 0.125], [0.021, 0.209, 0.114], [0.021, 0.312, 0.907], [0.093, 0.614, 0.406], [0.093, 0.979, 0.688], [0.094, 0.709, 0.688], [0.094, 0.886, 0.407], [0.114, 0.021, 0.209], [0.114, 0.593, 0.906], [0.188, 0.209, 0.594], [0.188, 0.479, 0.593], [0.209, 0.114, 0.021], [0.209, 0.594, 0.188], [0.291, 0.312, 0.906], [0.291, 0.479, 0.386], [0.312, 0.906, 0.291], [0.312, 0.907, 0.021], [0.386, 0.291, 0.479], [0.386, 0.594, 0.907], [0.406, 0.093, 0.614], [0.406, 0.812, 0.791], [0.407, 0.094, 0.886], [0.407, 0.812, 0.521], [0.479, 0.386, 0.291], [0.479, 0.593, 0.188], [0.521, 0.407, 0.812], [0.521, 0.614, 0.709], [0.593, 0.188, 0.479], [0.593, 0.906, 0.114], [0.594, 0.188, 0.209], [0.594, 0.907, 0.386], [0.614, 0.406, 0.093], [0.614, 0.709, 0.521], [0.688, 0.093, 0.979], [0.688, 0.094, 0.709], [0.709, 0.521, 0.614], [0.709, 0.688, 0.094], [0.791, 0.406, 0.812], [0.791, 0.886, 0.979], [0.812, 0.521, 0.407], [0.812, 0.791, 0.406], [0.886, 0.407, 0.094], [0.886, 0.979, 0.791], [0.906, 0.114, 0.593], [0.906, 0.291, 0.312], [0.907, 0.021, 0.312], [0.907, 0.386, 0.594], [0.979, 0.688, 0.093], [0.979, 0.791, 0.886]],
  "total_magnetization_mub_per_cell": 0.0,
  "dos_ef_per_ev_cell": 3.28
}

***

{
  "formula": "TlSb2S2",
  "functional": "PBE",
  "state": "relaxed",
  "cell": [[8.884, 0.000, 0.000], [0.000, 8.884, 0.000], [0.000, 0.000, 3.674]],
  "species": ["Tl", "Tl", "Sb", "Sb", "Sb", "Sb", "S", "S", "S", "S"],
  "frac_coords": [[0.000, 0.000, 0.000], [0.500, 0.500, 0.000], [0.217, 0.283, 0.500], [0.283, 0.783, 0.500], [0.717, 0.217, 0.500], [0.783, 0.717, 0.500], [0.146, 0.646, 0.000], [0.354, 0.146, 0.000], [0.646, 0.854, 0.000], [0.854, 0.354, 0.000]],
  "total_magnetization_mub_per_cell": 0.0,
  "polymorph_energy_ev_per_atom": 0.029,
  "dos_ef_per_ev_cell": 7.45
}

***

{
  "formula": "Tl2Sb2S5",
  "functional": "PBE",
  "state": "relaxed",
  "cell": [[5.662, 0.000, 0.000], [-2.436, 6.105, 0.000], [-0.207, -3.077, 7.933]],
  "species": ["Tl", "Tl", "Sb", "Sb", "S", "S", "S", "S", "S"],
  "frac_coords": [[0.026, 0.194, 0.266], [0.974, 0.806, 0.734], [0.327, 0.702, 0.144], [0.673, 0.298, 0.856], [0.113, 0.330, 0.832], [0.480, 0.908, 0.581], [0.500, 0.000, 0.000], [0.520, 0.092, 0.419], [0.887, 0.670, 0.168]],
  "total_magnetization_mub_per_cell": 0.0,
  "polymorph_energy_ev_per_atom": 0.000,
  "dos_ef_per_ev_cell": 0.10
}

***

{
  "formula": "Tl5Sb3S12",
  "functional": "PBE",
  "state": "relaxed",
  "cell": [[-8.024, 8.024, 8.024], [8.024, -8.024, 8.024], [8.024, 8.024, -8.024]],
  "species": ["Tl", "Tl", "Tl", "Tl", "Tl", "Tl", "Tl", "Tl", "Tl", "Tl", "Tl", "Tl", "Tl", "Tl", "Tl", "Tl", "Tl", "Tl", "Tl", "Tl", "Sb", "Sb", "Sb", "Sb", "Sb", "Sb", "Sb", "Sb", "Sb", "Sb", "Sb", "Sb", "S", "S", "S", "S", "S", "S", "S", "S", "S", "S", "S", "S", "S", "S", "S", "S", "S", "S", "S", "S", "S", "S", "S", "S", "S", "S", "S", "S", "S", "S", "S", "S", "S", "S", "S", "S", "S", "S", "S", "S", "S", "S", "S", "S", "S", "S", "S", "S"],
  "frac_coords": [[0.000, 0.000, 0.000], [0.000, 0.000, 0.500], [0.000, 0.500, 0.000], [0.000, 0.500, 0.500], [0.125, 0.750, 0.875], [0.125, 0.875, 0.250], [0.250, 0.125, 0.875], [0.250, 0.625, 0.375], [0.375, 0.250, 0.625], [0.375, 0.625, 0.750], [0.500, 0.000, 0.000], [0.500, 0.000, 0.500], [0.500, 0.500, 0.000], [0.500, 0.500, 0.500], [0.625, 0.375, 0.250], [0.625, 0.750, 0.375], [0.750, 0.375, 0.625], [0.750, 0.875, 0.125], [0.875, 0.125, 0.750], [0.875, 0.250, 0.125], [0.125, 0.250, 0.375], [0.125, 0.375, 0.750], [0.250, 0.375, 0.125], [0.250, 0.875, 0.625], [0.375, 0.125, 0.250], [0.375, 0.750, 0.125], [0.625, 0.250, 0.875], [0.625, 0.875, 0.750], [0.750, 0.125, 0.375], [0.750, 0.625, 0.875], [0.875, 0.625, 0.250], [0.875, 0.750, 0.625], [0.048, 0.221, 0.134], [0.048, 0.327, 0.914], [0.086, 0.634, 0.413], [0.086, 0.952, 0.673], [0.087, 0.721, 0.673], [0.087, 0.866, 0.414], [0.134, 0.048, 0.221], [0.134, 0.586, 0.913], [0.173, 0.221, 0.587], [0.173, 0.452, 0.586], [0.221, 0.134, 0.048], [0.221, 0.587, 0.173], [0.279, 0.327, 0.913], [0.279, 0.452, 0.366], [0.327, 0.913, 0.279], [0.327, 0.914, 0.048], [0.366, 0.279, 0.452], [0.366, 0.587, 0.914], [0.413, 0.086, 0.634], [0.413, 0.827, 0.779], [0.414, 0.087, 0.866], [0.414, 0.827, 0.548], [0.452, 0.366, 0.279], [0.452, 0.586, 0.173], [0.548, 0.414, 0.827], [0.548, 0.634, 0.721], [0.586, 0.173, 0.452], [0.586, 0.913, 0.134], [0.587, 0.173, 0.221], [0.587, 0.914, 0.366], [0.634, 0.413, 0.086], [0.634, 0.721, 0.548], [0.673, 0.086, 0.952], [0.673, 0.087, 0.721], [0.721, 0.548, 0.634], [0.721, 0.673, 0.087], [0.779, 0.413, 0.827], [0.779, 0.866, 0.952], [0.827, 0.548, 0.414], [0.827, 0.779, 0.413], [0.866, 0.414, 0.087], [0.866, 0.952, 0.779], [0.913, 0.134, 0.586], [0.913, 0.279, 0.327], [0.914, 0.048, 0.327], [0.914, 0.366, 0.587], [0.952, 0.673, 0.086], [0.952, 0.779, 0.866]],
  "total_magnetization_mub_per_cell": 0.0
}

***

{
  "formula": "Tl3SbS3",
  "functional": "PBE",
  "state": "relaxed",
  "cell": [[3.960, -5.673, 0.000], [3.960, 5.673, 0.000], [-0.251, 0.000, 9.533]],
  "species": ["Tl", "Tl", "Tl", "Tl", "Tl", "Tl", "Sb", "Sb", "S", "S", "S", "S", "S", "S"],
  "frac_coords": [[0.172, 0.828, 0.000], [0.289, 0.711, 0.500], [0.372, 0.372, 0.162], [0.628, 0.628, 0.838], [0.711, 0.289, 0.500], [0.828, 0.172, 0.000], [0.162, 0.162, 0.703], [0.838, 0.838, 0.297], [0.165, 0.500, 0.802], [0.250, 0.250, 0.462], [0.500, 0.165, 0.802], [0.500, 0.835, 0.198], [0.750, 0.750, 0.538], [0.835, 0.500, 0.198]],
  "total_magnetization_mub_per_cell": 0.0
}

***

{
  "formula": "Tl2SbS3",
  "functional": "PBE",
  "state": "relaxed",
  "cell": [[6.004, -4.236, 0.000], [6.004, 4.236, 0.000], [-0.748, 0.000, 6.996]],
  "species": ["Tl", "Tl", "Tl", "Tl", "Sb", "Sb", "S", "S", "S", "S", "S", "S"],
  "frac_coords": [[0.008, 0.295, 0.179], [0.295, 0.008, 0.679], [0.705, 0.992, 0.321], [0.992, 0.705, 0.821], [0.431, 0.569, 0.250], [0.569, 0.431, 0.750], [0.147, 0.853, 0.250], [0.332, 0.358, 0.482], [0.358, 0.332, 0.982], [0.642, 0.668, 0.018], [0.668, 0.642, 0.518], [0.853, 0.147, 0.750]],
  "total_magnetization_mub_per_cell": 0.0,
  "polymorph_energy_ev_per_atom": 0.000,
  "dos_ef_per_ev_cell": 2.84
}

***

{
  "formula": "Tl8Sb3S8",
  "functional": "PBE",
  "state": "relaxed",
  "cell": [[11.495, -2.889, 0.000], [11.495, 2.889, 0.000], [-0.052, 0.000, 8.682]],
  "species": ["Tl", "Tl", "Tl", "Tl", "Tl", "Tl", "Tl", "Tl", "Sb", "Sb", "Sb", "S", "S", "S", "S", "S", "S", "S", "S"],
  "frac_coords": [[0.001, 0.001, 0.306], [0.238, 0.238, 0.631], [0.350, 0.350, 0.993], [0.388, 0.388, 0.500], [0.612, 0.612, 0.500], [0.650, 0.650, 0.007], [0.762, 0.762, 0.369], [0.999, 0.999, 0.694], [0.168, 0.168, 0.134], [0.500, 0.500, 0.000], [0.832, 0.832, 0.866], [0.066, 0.066, 0.018], [0.136, 0.136, 0.400], [0.296, 0.296, 0.263], [0.486, 0.486, 0.294], [0.514, 0.514, 0.706], [0.704, 0.704, 0.737], [0.864, 0.864, 0.600], [0.934, 0.934, 0.982]],
  "total_magnetization_mub_per_cell": 0.0,
  "dos_ef_per_ev_cell": 7.21
}

***

{
  "formula": "TlSb2S2",
  "functional": "PBE",
  "state": "relaxed",
  "cell": [[8.956, 0.000, 0.000], [0.000, 8.956, 0.000], [0.000, 0.000, 3.621]],
  "species": ["Tl", "Tl", "Sb", "Sb", "Sb", "Sb", "S", "S", "S", "S"],
  "frac_coords": [[0.000, 0.000, 0.000], [0.500, 0.500, 0.000], [0.219, 0.281, 0.000], [0.281, 0.781, 0.000], [0.719, 0.219, 0.000], [0.781, 0.719, 0.000], [0.143, 0.643, 0.500], [0.357, 0.143, 0.500], [0.643, 0.857, 0.500], [0.857, 0.357, 0.500]],
  "total_magnetization_mub_per_cell": 0.0,
  "polymorph_energy_ev_per_atom": 0.002,
  "dos_ef_per_ev_cell": 3.18
}

***

{
  "formula": "Tl12Sb3S5",
  "functional": "PBE",
  "state": "relaxed",
  "cell": [[-8.868, 8.868, 8.868], [8.868, -8.868, 8.868], [8.868, 8.868, -8.868]],
  "species": ["Tl", "Tl", "Tl", "Tl", "Tl", "Tl", "Tl", "Tl", "Tl", "Tl", "Tl", "Tl", "Tl", "Tl", "Tl", "Tl", "Tl", "Tl", "Tl", "Tl", "Tl", "Tl", "Tl", "Tl", "Tl", "Tl", "Tl", "Tl", "Tl", "Tl", "Tl", "Tl", "Tl", "Tl", "Tl", "Tl", "Tl", "Tl", "Tl", "Tl", "Tl", "Tl", "Tl", "Tl", "Tl", "Tl", "Tl", "Tl", "Sb", "Sb", "Sb", "Sb", "Sb", "Sb", "Sb", "Sb", "Sb", "Sb", "Sb", "Sb", "S", "S", "S", "S", "S", "S", "S", "S", "S", "S", "S", "S", "S", "S", "S", "S", "S", "S", "S", "S"],
  "frac_coords": [[0.047, 0.219, 0.136], [0.047, 0.327, 0.911], [0.084, 0.719, 0.673], [0.084, 0.864, 0.411], [0.089, 0.636, 0.416], [0.089, 0.953, 0.673], [0.136, 0.047, 0.219], [0.136, 0.589, 0.916], [0.173, 0.219, 0.584], [0.173, 0.453, 0.589], [0.219, 0.136, 0.047], [0.219, 0.584, 0.173], [0.281, 0.327, 0.916], [0.281, 0.453, 0.364], [0.327, 0.911, 0.047], [0.327, 0.916, 0.281], [0.364, 0.281, 0.453], [0.364, 0.584, 0.911], [0.411, 0.084, 0.864], [0.411, 0.827, 0.547], [0.416, 0.089, 0.636], [0.416, 0.827, 0.781], [0.453, 0.364, 0.281], [0.453, 0.589, 0.173], [0.547, 0.411, 0.827], [0.547, 0.636, 0.719], [0.584, 0.173, 0.219], [0.584, 0.911, 0.364], [0.589, 0.173, 0.453], [0.589, 0.916, 0.136], [0.636, 0.416, 0.089], [0.636, 0.719, 0.547], [0.673, 0.084, 0.719], [0.673, 0.089, 0.953], [0.719, 0.547, 0.636], [0.719, 0.673, 0.084], [0.781, 0.416, 0.827], [0.781, 0.864, 0.953], [0.827, 0.547, 0.411], [0.827, 0.781, 0.416], [0.864, 0.411, 0.084], [0.864, 0.953, 0.781], [0.911, 0.047, 0.327], [0.911, 0.364, 0.584], [0.916, 0.136, 0.589], [0.916, 0.281, 0.327], [0.953, 0.673, 0.089], [0.953, 0.781, 0.864], [0.125, 0.250, 0.375], [0.125, 0.375, 0.750], [0.250, 0.375, 0.125], [0.250, 0.875, 0.625], [0.375, 0.125, 0.250], [0.375, 0.750, 0.125], [0.625, 0.250, 0.875], [0.625, 0.875, 0.750], [0.750, 0.125, 0.375], [0.750, 0.625, 0.875], [0.875, 0.625, 0.250], [0.875, 0.750, 0.625], [0.000, 0.000, 0.000], [0.000, 0.000, 0.500], [0.000, 0.500, 0.000], [0.000, 0.500, 0.500], [0.125, 0.750, 0.875], [0.125, 0.875, 0.250], [0.250, 0.125, 0.875], [0.250, 0.625, 0.375], [0.375, 0.250, 0.625], [0.375, 0.625, 0.750], [0.500, 0.000, 0.000], [0.500, 0.000, 0.500], [0.500, 0.500, 0.000], [0.500, 0.500, 0.500], [0.625, 0.375, 0.250], [0.625, 0.750, 0.375], [0.750, 0.375, 0.625], [0.750, 0.875, 0.125], [0.875, 0.125, 0.750], [0.875, 0.250, 0.125]],
  "total_magnetization_mub_per_cell": 0.0,
  "dos_ef_per_ev_cell": 38.04
}

***

Number 1: VASP energy -4.06 eV per atom. Number 2: VASP energy -4.10 eV per atom. Number 3: VASP energy -3.83 eV per atom. Number 4: VASP energy -3.98 eV per atom. Number 5: VASP energy -3.76 eV per atom. Number 6: VASP energy -3.93 eV per atom. Number 7: VASP energy -3.67 eV per atom. Number 8: VASP energy -3.67 eV per atom. Number 9: VASP energy -3.77 eV per atom. Number 10: VASP energy -3.53 eV per atom. Number 11: VASP energy -3.79 eV per atom. Number 12: VASP energy -3.16 eV per atom.